Entry 1:
TaSi2OsRu after structural relaxation, computed with PBE-GGA.

Cell: 4.3604 4.3604 4.9278 Å, 90.00 90.00 90.00°
Sites, in units of the cell vectors:
Ta1 0.0000 0.0000 0.0000
Si1 0.0000 0.5000 0.5000
Si2 0.5000 0.0000 0.5000
Os1 0.5000 0.5000 0.0000
Ru1 0.0000 0.0000 0.5000

Calculated values
- uncorrected formation energy (eV/atom) = 1.0978
- E (eV/atom) = -7.543
- Fermi-level density of states (states/eV/f.u.) = 4.1

---

Entry 2:
TaSiOsRu after structural relaxation, computed with PBE-GGA.

Cell: 6.1656 6.1656 6.1656 Å, 90.00 90.00 90.00°
Sites, in units of the cell vectors:
Ta1 0.0000 0.0000 0.0000
Ta2 0.0000 0.5000 0.5000
Ta3 0.5000 0.0000 0.5000
Ta4 0.5000 0.5000 0.0000
Si1 0.0000 0.0000 0.5000
Si2 0.0000 0.5000 0.0000
Si3 0.5000 0.0000 0.0000
Si4 0.5000 0.5000 0.5000
Os1 0.2500 0.2500 0.2500
Os2 0.2500 0.7500 0.7500
Os3 0.7500 0.2500 0.7500
Os4 0.7500 0.7500 0.2500
Ru1 0.2500 0.2500 0.7500
Ru2 0.2500 0.7500 0.2500
Ru3 0.7500 0.2500 0.2500
Ru4 0.7500 0.7500 0.7500

Calculated values
- uncorrected formation energy (eV/atom) = -0.3127
- E (eV/atom) = -9.758
- Fermi-level density of states (states/eV/f.u.) = 3.8

---

Entry 3:
TbSi3OsRu after structural relaxation, computed with PBE-GGA.

Cell: 6.7481 6.7481 5.4347 Å, 90.00 90.00 111.19°
Sites, in units of the cell vectors:
Tb1 0.2401 0.7599 0.7500
Tb2 0.7599 0.2401 0.2500
Si1 0.2498 0.7502 0.2500
Si2 0.2528 0.2528 0.0000
Si3 0.2528 0.2528 0.5000
Si4 0.7472 0.7472 0.0000
Si5 0.7472 0.7472 0.5000
Si6 0.7502 0.2498 0.7500
Os1 0.0512 0.9488 0.2500
Os2 0.9488 0.0512 0.7500
Ru1 0.4446 0.5554 0.2500
Ru2 0.5554 0.4446 0.7500

Calculated values
- uncorrected formation energy (eV/atom) = -0.3664
- E (eV/atom) = -7.267
- Fermi-level density of states (states/eV/f.u.) = 2.4

---

Entry 4:
TbSi2OsRu after structural relaxation, computed with PBE-GGA.

Cell: 4.1830 4.1830 9.6224 Å, 90.00 90.00 90.00°
Sites, in units of the cell vectors:
Tb1 0.0000 0.0000 0.0000
Tb2 0.5000 0.5000 0.5000
Si1 0.0000 0.0000 0.3701
Si2 0.0000 0.0000 0.6299
Si3 0.5000 0.5000 0.1299
Si4 0.5000 0.5000 0.8701
Os1 0.0000 0.5000 0.2500
Os2 0.5000 0.0000 0.7500
Ru1 0.0000 0.5000 0.7500
Ru2 0.5000 0.0000 0.2500

Calculated values
- uncorrected formation energy (eV/atom) = -0.8252
- E (eV/atom) = -8.022
- Fermi-level density of states (states/eV/f.u.) = 2.0